Record 1
First-principles (GGA-PBE) data for an optimized crystal structure of MgCrAs2, as listed in Alexandria.

Cell and atoms, written as CIF:
```
data_MgCrAs2
_chemical_formula_sum 'Mg2 Cr2 As4'
_cell_length_a 3.813
_cell_length_b 3.813
_cell_length_c 9.666
_cell_angle_alpha 90.00
_cell_angle_beta 90.00
_cell_angle_gamma 90.00
_space_group_name_H-M_alt 'P 1'
_space_group_IT_number 1
loop_
_space_group_symop_operation_xyz
'x,y,z'
loop_
_atom_site_label
_atom_site_type_symbol
_atom_site_fract_x
_atom_site_fract_y
_atom_site_fract_z
Mg1 Mg 0.000 0.000 0.000
Mg2 Mg 0.500 0.500 0.500
Cr1 Cr 0.000 0.500 0.250
Cr2 Cr 0.500 0.000 0.750
As1 As 0.000 0.000 0.500
As2 As 0.000 0.500 0.750
As3 As 0.500 0.000 0.250
As4 As 0.500 0.500 0.000
```

Calculated formation energy in eV per atom: -0.018
Crystal system: tetragonal
Density in g/cm3: 5.34
Space-group type: I-4m2, No. 119



Record 2
First-principles (GGA-PBE) data for an optimized crystal structure of MgCr3As, as listed in Alexandria.

Cell and atoms, written as CIF:
```
data_MgCr3As
_chemical_formula_sum 'Mg1 Cr3 As1'
_cell_length_a 4.623
_cell_length_b 4.623
_cell_length_c 4.623
_cell_angle_alpha 90.00
_cell_angle_beta 90.00
_cell_angle_gamma 90.00
_space_group_name_H-M_alt 'P 1'
_space_group_IT_number 1
loop_
_space_group_symop_operation_xyz
'x,y,z'
loop_
_atom_site_label
_atom_site_type_symbol
_atom_site_fract_x
_atom_site_fract_y
_atom_site_fract_z
Mg1 Mg 0.000 0.000 0.000
Cr1 Cr 0.000 0.500 0.500
Cr2 Cr 0.500 0.000 0.500
Cr3 Cr 0.500 0.500 0.000
As1 As 0.500 0.500 0.500
```

Calculated formation energy in eV per atom: 0.725
Crystal system: cubic
Density in g/cm3: 4.29
Energy above the most stable polymorph in this dataset in eV per atom: 0.000
Space-group type: Pm-3m, No. 221



Record 3
First-principles (GGA-PBE) data for an optimized crystal structure of Mg2CrAs, as listed in Alexandria.

Cell and atoms, written as CIF:
```
data_Mg2CrAs
_chemical_formula_sum 'Mg2 Cr1 As1'
_cell_length_a 3.420
_cell_length_b 3.793
_cell_length_c 5.755
_cell_angle_alpha 90.00
_cell_angle_beta 90.00
_cell_angle_gamma 90.00
_space_group_name_H-M_alt 'P 1'
_space_group_IT_number 1
loop_
_space_group_symop_operation_xyz
'x,y,z'
loop_
_atom_site_label
_atom_site_type_symbol
_atom_site_fract_x
_atom_site_fract_y
_atom_site_fract_z
Mg1 Mg 0.000 0.000 0.248
Mg2 Mg 0.000 0.000 0.752
Cr1 Cr 0.500 0.500 0.500
As1 As 0.500 0.500 0.000
```

Calculated formation energy in eV per atom: 0.095
Crystal system: orthorhombic
Density in g/cm3: 3.90
Space-group type: Pmmm, No. 47



Record 4
First-principles (GGA-PBE) data for an optimized crystal structure of MgCr2As, as listed in Alexandria.

Cell and atoms, written as CIF:
```
data_MgCr2As
_chemical_formula_sum 'Mg1 Cr2 As1'
_cell_length_a 4.122
_cell_length_b 4.122
_cell_length_c 3.630
_cell_angle_alpha 90.00
_cell_angle_beta 90.00
_cell_angle_gamma 90.00
_space_group_name_H-M_alt 'P 1'
_space_group_IT_number 1
loop_
_space_group_symop_operation_xyz
'x,y,z'
loop_
_atom_site_label
_atom_site_type_symbol
_atom_site_fract_x
_atom_site_fract_y
_atom_site_fract_z
Mg1 Mg 0.000 0.000 0.000
Cr1 Cr 0.000 0.500 0.500
Cr2 Cr 0.500 0.000 0.500
As1 As 0.500 0.500 0.000
```

Calculated formation energy in eV per atom: 0.253
Crystal system: tetragonal
Density in g/cm3: 5.47
Energy above the most stable polymorph in this dataset in eV per atom: 0.139
Space-group type: P4/mmm, No. 123



Record 5
First-principles (GGA-PBE) data for an optimized crystal structure of MgCrAs2, as listed in Alexandria.

Cell and atoms, written as CIF:
```
data_MgCrAs2
_chemical_formula_sum 'Mg2 Cr2 As4'
_cell_length_a 6.373
_cell_length_b 3.691
_cell_length_c 6.695
_cell_angle_alpha 90.00
_cell_angle_beta 108.63
_cell_angle_gamma 90.00
_space_group_name_H-M_alt 'P 1'
_space_group_IT_number 1
loop_
_space_group_symop_operation_xyz
'x,y,z'
loop_
_atom_site_label
_atom_site_type_symbol
_atom_site_fract_x
_atom_site_fract_y
_atom_site_fract_z
Mg1 Mg 0.000 0.000 0.000
Mg2 Mg 0.500 0.500 0.000
Cr1 Cr 0.000 0.500 0.500
Cr2 Cr 0.500 0.000 0.500
As1 As 0.239 0.000 0.718
As2 As 0.261 0.500 0.282
As3 As 0.739 0.500 0.718
As4 As 0.761 0.000 0.282
```

Calculated formation energy in eV per atom: -0.252
Crystal system: monoclinic
Density in g/cm3: 5.03
Space-group type: C2/m, No. 12



Record 6
First-principles (GGA-PBE) data for an optimized crystal structure of MgCrAs2, as listed in Alexandria.

Cell and atoms, written as CIF:
```
data_MgCrAs2
_chemical_formula_sum 'Mg2 Cr2 As4'
_cell_length_a 13.580
_cell_length_b 3.093
_cell_length_c 3.769
_cell_angle_alpha 90.00
_cell_angle_beta 90.36
_cell_angle_gamma 90.00
_space_group_name_H-M_alt 'P 1'
_space_group_IT_number 1
loop_
_space_group_symop_operation_xyz
'x,y,z'
loop_
_atom_site_label
_atom_site_type_symbol
_atom_site_fract_x
_atom_site_fract_y
_atom_site_fract_z
Mg1 Mg 0.000 0.000 0.000
Mg2 Mg 0.500 0.500 0.000
Cr1 Cr 0.265 0.500 0.492
Cr2 Cr 0.765 0.000 0.492
As1 As 0.195 0.000 0.990
As2 As 0.413 0.000 0.497
As3 As 0.695 0.500 0.990
As4 As 0.913 0.500 0.497
```

Calculated formation energy in eV per atom: -0.149
Crystal system: monoclinic
Density in g/cm3: 4.74
Space-group type: Cm, No. 8



Record 7
First-principles (GGA-PBE) data for an optimized crystal structure of MgCrAs3, as listed in Alexandria.

Cell and atoms, written as CIF:
```
data_MgCrAs3
_chemical_formula_sum 'Mg1 Cr1 As3'
_cell_length_a 4.724
_cell_length_b 4.724
_cell_length_c 4.724
_cell_angle_alpha 90.00
_cell_angle_beta 90.00
_cell_angle_gamma 90.00
_space_group_name_H-M_alt 'P 1'
_space_group_IT_number 1
loop_
_space_group_symop_operation_xyz
'x,y,z'
loop_
_atom_site_label
_atom_site_type_symbol
_atom_site_fract_x
_atom_site_fract_y
_atom_site_fract_z
Mg1 Mg 0.000 0.000 0.000
Cr1 Cr 0.500 0.500 0.500
As1 As 0.000 0.500 0.500
As2 As 0.500 0.000 0.500
As3 As 0.500 0.500 0.000
```

Calculated formation energy in eV per atom: 0.237
Crystal system: cubic
Density in g/cm3: 4.74
Energy above the most stable polymorph in this dataset in eV per atom: 0.000
Space-group type: Pm-3m, No. 221



Record 8
First-principles (GGA-PBE) data for an optimized crystal structure of MgCrAs2, as listed in Alexandria.

Cell and atoms, written as CIF:
```
data_MgCrAs2
_chemical_formula_sum 'Mg1 Cr1 As2'
_cell_length_a 3.157
_cell_length_b 3.882
_cell_length_c 6.650
_cell_angle_alpha 90.00
_cell_angle_beta 90.00
_cell_angle_gamma 90.00
_space_group_name_H-M_alt 'P 1'
_space_group_IT_number 1
loop_
_space_group_symop_operation_xyz
'x,y,z'
loop_
_atom_site_label
_atom_site_type_symbol
_atom_site_fract_x
_atom_site_fract_y
_atom_site_fract_z
Mg1 Mg 0.000 0.000 0.000
Cr1 Cr 0.500 0.500 0.522
As1 As 0.000 0.000 0.599
As2 As 0.500 0.500 0.152
```

Calculated formation energy in eV per atom: -0.119
Crystal system: orthorhombic
Density in g/cm3: 4.61
Space-group type: Pmm2, No. 25